(1)
Entry from Alexandria via LeMat-Bulk: a relaxed structure of HPdO2 (GGA-PBE).

Total magnetic moment ... 0.00 μB/f.u.
Density of states at the Fermi level ... 7.2 states/eV per cell

Lattice parameters (Å, degrees): 15.8772 3.0374 6.0838 90.00 138.79 90.00
Last column: nearest neighbours and their distance in Å.
Fractional coordinates of all 16 atoms:
H: 0.7388 0.7500 0.8764  3 Pd 1.75-1.93
H: 0.2388 0.7500 0.3764  3 Pd 1.75-1.93
H: 0.7612 0.2500 0.6236  3 Pd 1.75-1.93
H: 0.2612 0.2500 0.1236  3 Pd 1.75-1.93
O: 0.8993 0.2500 0.4849  1 O 1.32
O: 0.9826 0.7500 0.2054  1 O 1.32
O: 0.5174 0.2500 0.2946  1 O 1.32
O: 0.6007 0.7500 0.0151  1 O 1.32
O: 0.3993 0.2500 0.9849  1 O 1.32
O: 0.4826 0.7500 0.7054  1 O 1.32
O: 0.1007 0.7500 0.5151  1 O 1.32
O: 0.0174 0.2500 0.7946  1 O 1.32
Pd: 0.1517 0.7500 0.9590  3 H 1.75-1.93
Pd: 0.3483 0.2500 0.5410  3 H 1.75-1.93
Pd: 0.8483 0.2500 0.0410  3 H 1.75-1.93
Pd: 0.6517 0.7500 0.4590  3 H 1.75-1.93

=====

(2)
Entry from Alexandria via LeMat-Bulk: a relaxed structure of Pm2HPdO6 (GGA-PBE).

Total magnetic moment ... 1.00 μB/f.u.
Density of states at the Fermi level ... 2.4 states/eV per cell

Lattice parameters (Å, degrees): 5.4301 4.9429 5.7865 115.28 121.68 90.00
Last column: nearest neighbours and their distance in Å.
Fractional coordinates of all 10 atoms:
O: 0.2112 0.7110 0.8912  1 H 1.76
O: 0.3221 0.7338 0.4676  1 Pd 2.02
O: 0.6779 0.2662 0.5324  1 Pd 2.02
O: 0.2112 0.1803 0.8912  1 H 1.76
O: 0.7888 0.8197 0.1088  1 H 1.76
O: 0.7888 0.2890 0.1088  1 H 1.76
Pd: 0.0000 0.5000 0.0000  6 O 2.02-2.03
H: 0.5000 0.0000 0.0000  4 O 1.76
Pm: 0.7499 0.7363 0.4726  7 O 2.31-2.55
Pm: 0.2501 0.2637 0.5274  7 O 2.31-2.55

=====

(3)
Entry from Alexandria via LeMat-Bulk: a relaxed structure of PrH2PdO4 (GGA-PBE).

Total magnetic moment ... 1.00 μB/f.u.
Density of states at the Fermi level ... 4.1 states/eV per cell

Lattice parameters (Å, degrees): 4.9468 4.8733 4.8733 69.07 59.50 59.50
Last column: nearest neighbours and their distance in Å.
Fractional coordinates of all 8 atoms:
O: 0.5946 0.5826 0.8174  1 H 1.21
O: 0.0054 0.8174 0.5826  1 H 1.21
O: 0.9946 0.4174 0.1826  1 H 1.21
O: 0.4054 0.1826 0.4174  1 H 1.21
Pr: 0.0000 0.0000 0.0000  8 O 2.48-2.66
H: 0.1936 0.3064 0.3064  2 O 1.21
H: 0.8064 0.6936 0.6936  2 O 1.21
Pd: 0.5000 0.5000 0.5000  4 O 2.04

=====

(4)
Entry from Alexandria via LeMat-Bulk: a relaxed structure of SmH2PdO4 (GGA-PBE).

Total magnetic moment ... 0.95 μB/f.u.
Density of states at the Fermi level ... 4.0 states/eV per cell

Lattice parameters (Å, degrees): 4.9242 4.7878 4.7878 69.36 59.05 59.05
Last column: nearest neighbours and their distance in Å.
Fractional coordinates of all 8 atoms:
H: 0.2000 0.3000 0.3000  2 O 1.21
H: 0.8000 0.7000 0.7000  2 O 1.21
O: 0.4087 0.1714 0.4180  1 H 1.21
O: 0.5913 0.5820 0.8286  1 H 1.21
O: 0.9981 0.8286 0.5820  1 H 1.21
O: 0.0019 0.4180 0.1714  1 H 1.21
Pd: 0.5000 0.5000 0.5000  4 O 2.04
Sm: 0.0000 0.0000 0.0000  8 O 2.42-2.61

=====

(5)
Entry from Alexandria via LeMat-Bulk: a relaxed structure of SrHPdO2 (GGA-PBE).

Total magnetic moment ... 0.00 μB/f.u.
Density of states at the Fermi level ... 1.2 states/eV per cell

Lattice parameters (Å, degrees): 4.1998 3.4649 4.1998 90.00 90.00 90.00
Last column: nearest neighbours and their distance in Å.
Fractional coordinates of all 5 atoms:
Pd: 0.0000 0.0000 0.0000  2 H 1.73
H: 0.0000 0.5000 0.0000  2 Pd 1.73
O: 0.5000 0.0000 0.0000  2 Pd 2.10
O: 0.0000 0.0000 0.5000  2 Pd 2.10
Sr: 0.5000 0.5000 0.5000  8 O 2.72, 4 H 2.97

=====

(6)
Entry from Alexandria via LeMat-Bulk: a relaxed structure of TbH2PdO4 (GGA-PBE).

Total magnetic moment ... 0.83 μB/f.u.
Density of states at the Fermi level ... 4.2 states/eV per cell

Lattice parameters (Å, degrees): 4.9053 4.7126 4.7126 69.54 58.64 58.64
Last column: nearest neighbours and their distance in Å.
Fractional coordinates of all 8 atoms:
O: 0.5879 0.5818 0.8396  1 H 1.21
O: 0.4121 0.1604 0.4182  1 H 1.21
O: 0.9907 0.8396 0.5818  1 H 1.21
O: 0.0093 0.4182 0.1604  1 H 1.21
Tb: 0.0000 0.0000 0.0000  8 O 2.37-2.56
H: 0.7936 0.7064 0.7064  2 O 1.21
H: 0.2064 0.2936 0.2936  2 O 1.21
Pd: 0.5000 0.5000 0.5000  4 O 2.05

=====

(7)
Entry from Alexandria via LeMat-Bulk: a relaxed structure of Te2HPdO (GGA-PBE).

Total magnetic moment ... 0.62 μB/f.u.
Density of states at the Fermi level ... 5.9 states/eV per cell

Lattice parameters (Å, degrees): 5.5029 5.5029 3.7458 90.00 90.00 90.00
Last column: nearest neighbours and their distance in Å.
Fractional coordinates of all 5 atoms:
Te: 0.5000 0.0000 0.0000  2 Pd 2.75
Te: 0.0000 0.5000 0.0000  2 Pd 2.75
O: 0.0000 0.0000 0.5000  2 Pd 1.87
Pd: 0.0000 0.0000 0.0000  2 O 1.87
H: 0.5000 0.5000 0.5000  8 Te 3.33

=====

(8)
Entry from Alexandria via LeMat-Bulk: a relaxed structure of TeH2PdO (GGA-PBE).

Total magnetic moment ... 0.00 μB/f.u.
Density of states at the Fermi level ... 2.1 states/eV per cell

Lattice parameters (Å, degrees): 3.8448 4.3322 3.8448 90.00 90.00 90.00
Last column: nearest neighbours and their distance in Å.
Fractional coordinates of all 5 atoms:
Pd: 0.5000 0.5000 0.5000  4 O 2.72, 8 H 2.90
O: 0.0000 0.5000 0.0000  2 Te 2.17
H: 0.5000 0.0000 0.0000  2 Te 1.92
H: 0.0000 0.0000 0.5000  2 Te 1.92
Te: 0.0000 0.0000 0.0000  4 H 1.92

=====

For each record above, in turn, the calculated final energy values are -4.5707, -6.3996, -5.9192, -5.9237, -5.2425, -5.9239, -3.3133, -3.5408 eV/atom.